The following is a GGA-PBE calculation of a geometry-optimized CdAgPb2 structure, from the Alexandria database.

Cell: 3.650 4.914 6.089 Å, 90.00 106.44 90.00°
Fractional coordinates of all 4 atoms:
1 Cd 0.000 0.000 0.000
2 Ag 0.854 0.500 0.716
3 Pb 0.270 0.000 0.543
4 Pb 0.590 0.500 0.184

V, Å³/cell: 105
Formation energy from the elements, eV per atom: 0.063
Calculated total energy, eV per atom: -2.73

***

The following is a GGA-PBE calculation of a geometry-optimized CdAgPb2 structure, from the Alexandria database.

Cell: 5.296 5.296 5.296 Å, 60.00 60.00 60.00°
Fractional coordinates of all 4 atoms:
1 Cd 0.000 0.000 0.000
2 Ag 0.750 0.750 0.750
3 Pb 0.250 0.250 0.250
4 Pb 0.500 0.500 0.500

V, Å³/cell: 105
Formation energy from the elements, eV per atom: 0.150
Calculated total energy, eV per atom: -2.65

***

The following is a GGA-PBE calculation of a geometry-optimized Cd4Ag5Pb structure, from the Alexandria database.

Cell: 3.458 3.458 17.098 Å, 90.00 90.00 90.00°
Fractional coordinates of all 10 atoms:
1 Cd 0.000 0.000 0.096
2 Cd 0.000 0.000 0.286
3 Cd 0.000 0.000 0.714
4 Cd 0.000 0.000 0.904
5 Ag 0.500 0.500 0.000
6 Ag 0.500 0.500 0.191
7 Ag 0.500 0.500 0.380
8 Ag 0.500 0.500 0.620
9 Ag 0.500 0.500 0.809
10 Pb 0.000 0.000 0.500

V, Å³/cell: 204
Formation energy from the elements, eV per atom: -0.017
Calculated total energy, eV per atom: -2.18

***

The following is a GGA-PBE calculation of a geometry-optimized CdAg2Pb structure, from the Alexandria database.

Cell: 3.461 3.461 7.476 Å, 90.00 90.00 90.00°
Fractional coordinates of all 4 atoms:
1 Cd 0.000 0.000 0.000
2 Ag 0.000 0.000 0.581
3 Ag 0.500 0.500 0.785
4 Pb 0.500 0.500 0.314

V, Å³/cell: 90
Formation energy from the elements, eV per atom: 0.051
Calculated total energy, eV per atom: -2.53

***

The following is a GGA-PBE calculation of a geometry-optimized CdAg2Pb structure, from the Alexandria database.

Cell: 3.253 3.894 6.984 Å, 90.00 92.00 90.00°
Fractional coordinates of all 4 atoms:
1 Cd 0.000 0.000 0.000
2 Ag 0.493 0.500 0.783
3 Ag 0.507 0.500 0.217
4 Pb 0.000 0.000 0.500

V, Å³/cell: 88
Formation energy from the elements, eV per atom: 0.048
Calculated total energy, eV per atom: -2.53

***

The following is a GGA-PBE calculation of a geometry-optimized Cd2Ag2Pb structure, from the Alexandria database.

Cell: 8.432 8.432 3.148 Å, 90.00 90.00 90.00°
Fractional coordinates of all 10 atoms:
1 Cd 0.126 0.374 0.000
2 Cd 0.374 0.874 0.000
3 Cd 0.626 0.126 0.000
4 Cd 0.874 0.626 0.000
5 Ag 0.171 0.671 0.500
6 Ag 0.329 0.171 0.500
7 Ag 0.671 0.829 0.500
8 Ag 0.829 0.329 0.500
9 Pb 0.000 0.000 0.000
10 Pb 0.500 0.500 0.000

V, Å³/cell: 224
Formation energy from the elements, eV per atom: 0.023
Calculated total energy, eV per atom: -2.22